[1]
Density functional theory data (GGA-PBE) for a relaxed structure of HoPd2Pt6.

Cell: 7.082 7.082 4.000 Å, 98.04 98.04 126.69°
Sites, in units of the cell vectors:
Ho1 0.000 0.000 0.000
Pd1 0.160 0.840 0.500
Pd2 0.840 0.160 0.500
Pt1 0.182 0.500 0.162
Pt2 0.337 0.337 0.666
Pt3 0.500 0.182 0.162
Pt4 0.500 0.818 0.838
Pt5 0.663 0.663 0.334
Pt6 0.818 0.500 0.838

Calculated values
ΔE_f, eV/atom: -0.33
SG: C2/m, No. 12

[2]
Density functional theory data (GGA-PBE) for a relaxed structure of DyCuAg.

Cell: 12.765 3.862 7.320 Å, 90.00 90.00 90.00°
Sites, in units of the cell vectors:
Dy1 0.045 0.000 0.247
Dy2 0.250 0.000 0.845
Dy3 0.455 0.000 0.247
Dy4 0.545 0.000 0.753
Dy5 0.750 0.000 0.155
Dy6 0.955 0.000 0.753
Cu1 0.090 0.500 0.945
Cu2 0.250 0.000 0.445
Cu3 0.410 0.500 0.945
Cu4 0.590 0.500 0.055
Cu5 0.750 0.000 0.555
Cu6 0.910 0.500 0.055
Ag1 0.120 0.500 0.571
Ag2 0.250 0.500 0.194
Ag3 0.380 0.500 0.571
Ag4 0.620 0.500 0.429
Ag5 0.750 0.500 0.806
Ag6 0.880 0.500 0.429

Calculated values
ΔE_f, eV/atom: -0.26
Polymorph energy (0 for the lowest one), eV per atom: 0.016
SG: Pmma, No. 51

[3]
Density functional theory data (GGA-PBE) for a relaxed structure of K3RbMo.

Cell: 7.067 7.067 7.067 Å, 90.00 90.00 90.00°
Sites, in units of the cell vectors:
K1 0.000 0.000 0.500
K2 0.000 0.500 0.000
K3 0.500 0.000 0.000
Rb1 0.500 0.500 0.500
Mo1 0.000 0.000 0.000

Calculated values
ΔE_f, eV/atom: 0.98
Polymorph energy (0 for the lowest one), eV per atom: 0.000
SG: Pm-3m, No. 221

[4]
Density functional theory data (GGA-PBE) for a relaxed structure of KCd2InBr8.

Cell: 6.542 6.951 8.615 Å, 89.79 89.70 89.04°
Sites, in units of the cell vectors:
K1 0.000 0.000 0.000
Cd1 0.499 0.500 0.254
Cd2 0.501 0.500 0.746
In1 0.000 0.000 0.500
Br1 0.245 0.844 0.716
Br2 0.247 0.846 0.283
Br3 0.257 0.345 0.500
Br4 0.270 0.380 0.000
Br5 0.730 0.620 0.000
Br6 0.743 0.655 0.500
Br7 0.753 0.154 0.717
Br8 0.755 0.156 0.284

Calculated values
Uncorrected formation energy, eV/atom: -0.91
SG: P-1, No. 2

[5]
Density functional theory data (GGA-PBE) for a relaxed structure of La2TbNd3.

Cell: 6.927 17.806 3.454 Å, 90.00 90.00 90.00°
Sites, in units of the cell vectors:
La1 0.242 0.158 0.000
La2 0.258 0.658 0.500
La3 0.742 0.342 0.500
La4 0.758 0.842 0.000
Tb1 0.000 0.500 0.500
Tb2 0.500 0.000 0.000
Nd1 0.000 0.000 0.500
Nd2 0.246 0.829 0.000
Nd3 0.254 0.329 0.500
Nd4 0.500 0.500 0.000
Nd5 0.746 0.671 0.500
Nd6 0.754 0.171 0.000

Calculated values
ΔE_f, eV/atom: 0.23
Polymorph energy (0 for the lowest one), eV per atom: 0.110
SG: Pnnm, No. 58

[6]
Density functional theory data (GGA-PBE) for a relaxed structure of Pr2Nd4Sm3.

Cell: 3.670 3.670 27.388 Å, 90.00 90.00 120.00°
Sites, in units of the cell vectors:
Pr1 0.000 0.000 0.000
Pr2 0.000 0.000 0.218
Nd1 0.000 0.000 0.346
Nd2 0.000 0.000 0.562
Nd3 0.333 0.667 0.672
Nd4 0.333 0.667 0.889
Sm1 0.000 0.000 0.781
Sm2 0.333 0.667 0.112
Sm3 0.333 0.667 0.451

Calculated values
ΔE_f, eV/atom: 0.06
Polymorph energy (0 for the lowest one), eV per atom: 0.044
SG: P3m1, No. 156

Number 3 is which compound? K3RbMo